# 1
Na2Pt, relaxed, DFT PBEsol; SG = I4/mmm (139)
1.0
-1.7449 2.4938 -1.8040
-0.4187 -2.2468 -2.7009
-3.0099 -1.6244 4.1353
Na Pt
2 1
Direct
0.6529 0.6529 0.3057 Na
0.3471 0.3471 0.6943 Na
0.0000 0.0000 0.0000 Pt


# 2
Ir2OsRu, relaxed, DFT PBEsol; SG = I-4m2 (119)
1.0
-2.6415 -1.6010 2.2320
2.3505 -2.9198 0.6874
1.5655 4.1119 1.5489
Ir Ru Os
2 1 1
Direct
0.5000 0.5000 0.0000 Ir
0.2500 0.7500 0.5000 Ir
0.7500 0.2500 0.5000 Ru
0.0000 0.0000 0.0000 Os


no.,energy relative to the elements (eV/f.u.)
1,0.39
2,0.04